Run 1
ZrTc3Os: relaxed, GGA-PBE.

abc: 4.628 4.628 4.628
angles: 90.00 90.00 90.00
Atoms (fractional coordinates):
Zr 0.000 0.000 0.000
Tc 0.500 0.000 0.000
Tc 0.000 0.000 0.500
Tc 0.000 0.500 0.000
Os 0.500 0.500 0.500

Summary:
density of states at the Fermi level: 7.683 states/eV per cell

=====

Run 2
ZrTc3Os: relaxed, GGA-PBE.

abc: 4.669 4.669 4.669
angles: 90.00 90.00 90.00
Atoms (fractional coordinates):
Tc 0.000 0.500 0.000
Tc 0.500 0.000 0.000
Tc 0.000 0.000 0.500
Zr 0.500 0.500 0.500
Os 0.000 0.000 0.000

Summary:
density of states at the Fermi level: 5.248 states/eV per cell

=====

Best to worst by energy: run 2, run 1.

=====

Run 1
ZrTcOs3: relaxed, GGA-PBE.

abc: 4.710 4.710 4.710
angles: 90.00 90.00 90.00
Atoms (fractional coordinates):
Os 0.000 0.000 0.500
Os 0.500 0.000 0.000
Os 0.000 0.500 0.000
Tc 0.500 0.500 0.500
Zr 0.000 0.000 0.000

Summary:
density of states at the Fermi level: 8.747 states/eV per cell

=====

Run 2
ZrTcOs3: relaxed, GGA-PBE.

abc: 4.649 4.649 4.649
angles: 90.00 90.00 90.00
Atoms (fractional coordinates):
Zr 0.500 0.500 0.500
Os 0.000 0.000 0.500
Os 0.000 0.500 0.000
Os 0.500 0.000 0.000
Tc 0.000 0.000 0.000

Summary:
density of states at the Fermi level: 5.939 states/eV per cell

=====

Best to worst by energy: run 2, run 1.